(1)
A plane-wave DFT calculation with PBE was carried out for a geometry-optimized BaBeCd structure.

Summary:
Crystal system: hexagonal
SG: P-6m2 (187)
Energy relative to the elements: 0.17 eV/atom

a b c (Å): 4.593 4.593 4.801
angles (deg): 90.00 90.00 120.00
Fractional positions:
Cd 0.333 0.667 0.500
Ba 0.000 0.000 0.000
Be 0.667 0.333 0.500


(2)
A plane-wave DFT calculation with PBE was carried out for a geometry-optimized BaBeCd2 structure.

Summary:
Crystal system: trigonal
SG: R-3m (166)
Energy relative to the elements: 0.05 eV/atom

a b c (Å): 4.542 4.542 6.685
angles (deg): 70.19 70.19 60.07
Fractional positions:
Cd 0.949 0.949 0.153
Cd 0.551 0.551 0.347
Be 0.250 0.250 0.250
Ba 0.750 0.750 0.750


(3)
A plane-wave DFT calculation with PBE was carried out for a geometry-optimized BaBeCd structure.

Summary:
Crystal system: cubic
SG: F-43m (216)
Energy relative to the elements: 0.57 eV/atom

a b c (Å): 5.216 5.216 5.216
angles (deg): 60.00 60.00 60.00
Site moments in Bohr magnetons follow the coordinates.
Fractional positions:
Be 0.500 0.500 0.500  0.05
Ba 0.000 0.000 0.000  0.05
Cd 0.750 0.750 0.750  0.02


(4)
A plane-wave DFT calculation with PBE was carried out for a geometry-optimized BaBeCd structure.

Summary:
Crystal system: cubic
SG: F-43m (216)
Energy relative to the elements: 0.39 eV/atom

a b c (Å): 5.076 5.076 5.076
angles (deg): 60.00 60.00 60.00
Fractional positions:
Cd 0.000 0.000 0.000
Ba 0.500 0.500 0.500
Be 0.750 0.750 0.750


(5)
A plane-wave DFT calculation with PBE was carried out for a geometry-optimized BaBeCd2 structure.

Summary:
Crystal system: tetragonal
SG: I4_1/amd (141)
Energy relative to the elements: 0.15 eV/atom

a b c (Å): 5.646 5.646 8.851
angles (deg): 71.40 71.40 90.00
Fractional positions:
Be 0.250 0.750 0.500
Be 0.500 0.500 0.000
Cd 0.374 0.625 0.250
Cd 0.375 0.624 0.750
Cd 0.875 0.626 0.750
Cd 0.376 0.125 0.250
Ba 0.000 0.000 0.000
Ba 0.750 0.250 0.500


(6)
A plane-wave DFT calculation with PBE was carried out for a geometry-optimized BaBeCd structure.

Summary:
Crystal system: cubic
SG: F-43m (216)
Energy relative to the elements: 0.79 eV/atom

a b c (Å): 5.407 5.407 5.407
angles (deg): 60.00 60.00 60.00
Fractional positions:
Ba 0.750 0.750 0.750
Be 0.000 0.000 0.000
Cd 0.500 0.500 0.500


(7)
A plane-wave DFT calculation with PBE was carried out for a geometry-optimized BaBeCd2 structure.

Summary:
Crystal system: monoclinic
SG: P2/m (10)
Energy relative to the elements: 0.16 eV/atom

a b c (Å): 4.370 4.714 5.715
angles (deg): 71.59 90.00 90.00
Fractional positions:
Cd 0.000 0.917 0.918
Cd 0.000 0.583 0.582
Be 0.500 0.750 0.750
Ba 0.500 0.250 0.250


(8)
A plane-wave DFT calculation with PBE was carried out for a geometry-optimized BaBeCd2 structure.

Summary:
Crystal system: cubic
SG: F-43m (216)
Energy relative to the elements: 0.24 eV/atom

a b c (Å): 5.261 5.261 5.261
angles (deg): 60.00 60.00 60.00
Fractional positions:
Ba 0.500 0.500 0.500
Be 0.750 0.750 0.750
Cd 0.250 0.250 0.250
Cd 0.000 0.000 0.000


(9)
A plane-wave DFT calculation with PBE was carried out for a geometry-optimized BaBeCd structure.

Summary:
Crystal system: tetragonal
SG: I4mm (107)
Energy relative to the elements: 0.31 eV/atom

a b c (Å): 6.648 6.648 3.549
angles (deg): 74.52 74.52 30.96
Fractional positions:
Ba 0.006 0.006 0.994
Be 0.709 0.709 0.291
Cd 0.285 0.285 0.715


(10)
A plane-wave DFT calculation with PBE was carried out for a geometry-optimized BaBe2Cd2 structure.

Summary:
Crystal system: tetragonal
SG: I4/mmm (139)
Energy relative to the elements: 0.19 eV/atom

a b c (Å): 4.551 4.551 6.410
angles (deg): 69.21 69.21 90.00
Fractional positions:
Be 0.250 0.750 0.500
Be 0.750 0.250 0.500
Cd 0.348 0.348 0.304
Cd 0.652 0.652 0.696
Ba 0.000 0.000 0.000


(11)
A plane-wave DFT calculation with PBE was carried out for a geometry-optimized BaBeCd3 structure.

Summary:
Crystal system: cubic
SG: Pm-3m (221)
Energy relative to the elements: -0.02 eV/atom

a b c (Å): 5.032 5.032 5.032
angles (deg): 90.00 90.00 90.00
Fractional positions:
Cd 0.500 0.000 0.000
Cd 0.000 0.000 0.500
Cd 0.000 0.500 0.000
Be 0.000 0.000 0.000
Ba 0.500 0.500 0.500


(12)
A plane-wave DFT calculation with PBE was carried out for a geometry-optimized Ba3BeCd structure.

Summary:
Crystal system: cubic
SG: Pm-3m (221)
Energy relative to the elements: 0.32 eV/atom

a b c (Å): 6.218 6.218 6.218
angles (deg): 90.00 90.00 90.00
Site moments in Bohr magnetons follow the coordinates.
Fractional positions:
Be 0.000 0.000 0.000  0.03
Ba 0.500 0.000 0.000  0.06
Ba 0.000 0.000 0.500  0.03
Ba 0.000 0.500 0.000  0.05
Cd 0.500 0.500 0.500  0.03


(13)
A plane-wave DFT calculation with PBE was carried out for a geometry-optimized BaBeCd2 structure.

Summary:
Crystal system: tetragonal
SG: P4mm (99)
Energy relative to the elements: 0.23 eV/atom

a b c (Å): 3.556 3.554 8.025
angles (deg): 90.00 90.00 90.00
Fractional positions:
Be 0.500 0.500 0.833
Ba 0.000 0.000 0.525
Cd 0.500 0.500 0.191
Cd 0.000 0.000 0.951


(14)
A plane-wave DFT calculation with PBE was carried out for a geometry-optimized BaBeCd3 structure.

Summary:
Crystal system: cubic
SG: Pm-3m (221)
Energy relative to the elements: 1.15 eV/atom

a b c (Å): 6.782 6.782 6.782
angles (deg): 90.00 90.00 90.00
Fractional positions:
Be 0.500 0.500 0.500
Ba 0.000 0.000 0.000
Cd 0.000 0.000 0.500
Cd 0.500 0.000 0.000
Cd 0.000 0.500 0.000


(15)
A plane-wave DFT calculation with PBE was carried out for a geometry-optimized BaBeCd2 structure.

Summary:
Crystal system: monoclinic
SG: C2/m (12)
Energy relative to the elements: 0.48 eV/atom

a b c (Å): 5.486 6.621 3.512
angles (deg): 76.94 84.56 112.90
Fractional positions:
Cd 0.000 0.000 0.000
Cd 0.500 0.000 0.500
Ba 0.000 0.500 0.500
Be 0.500 0.500 0.000


(16)
A plane-wave DFT calculation with PBE was carried out for a geometry-optimized BaBeCd2 structure.

Summary:
Crystal system: trigonal
SG: R3m (160)
Energy relative to the elements: 0.05 eV/atom

a b c (Å): 4.588 4.588 6.632
angles (deg): 69.82 69.82 60.04
Fractional positions:
Cd 0.701 0.701 0.895
Cd 0.977 0.977 0.069
Ba 0.505 0.505 0.484
Be 0.316 0.316 0.052


(17)
A plane-wave DFT calculation with PBE was carried out for a geometry-optimized BaBeCd2 structure.

Summary:
Crystal system: tetragonal
SG: P4/mmm (123)
Energy relative to the elements: 0.23 eV/atom

a b c (Å): 3.348 3.348 8.511
angles (deg): 90.00 90.00 90.07
Fractional positions:
Be 0.500 0.500 0.750
Ba 0.500 0.500 0.250
Cd 0.000 0.000 0.572
Cd 0.000 0.000 0.928


(18)
A plane-wave DFT calculation with PBE was carried out for a geometry-optimized BaBeCd2 structure.

Summary:
Crystal system: monoclinic
SG: C2 (5)
Energy relative to the elements: 0.16 eV/atom

a b c (Å): 5.545 5.545 5.522
angles (deg): 129.84 114.85 86.76
Fractional positions:
Ba 0.489 0.489 0.000
Cd 0.061 0.061 0.000
Cd 0.802 0.302 0.500
Be 0.148 0.648 0.500


(19)
A plane-wave DFT calculation with PBE was carried out for a geometry-optimized BaBeCd2 structure.

Summary:
Crystal system: monoclinic
SG: Pm (6)
Energy relative to the elements: 0.12 eV/atom

a b c (Å): 4.499 4.228 6.435
angles (deg): 71.29 90.00 90.00
Fractional positions:
Ba 0.000 0.530 0.557
Be 0.500 0.887 0.851
Cd 0.500 0.270 0.089
Cd 0.000 0.813 0.002


(20)
A plane-wave DFT calculation with PBE was carried out for a geometry-optimized BaBe2CdCu structure.

Summary:
Crystal system: tetragonal
SG: P4/mmm (123)
Energy relative to the elements: 0.52 eV/atom

a b c (Å): 4.683 5.084 4.683
angles (deg): 90.00 90.00 90.00
Fractional positions:
Cu 0.000 0.500 0.000
Cd 0.000 0.000 0.000
Ba 0.500 0.500 0.500
Be 0.000 0.000 0.500
Be 0.500 0.000 0.000


(21)
A plane-wave DFT calculation with PBE was carried out for a geometry-optimized BaBe2CdF8 structure.

Summary:
Crystal system: monoclinic
SG: C2/m (12)
Formation energy without anion corrections: -73.054 kcal/mol of atoms

a b c (Å): 4.943 4.943 8.157
angles (deg): 86.80 86.80 66.96
Fractional positions:
F 0.692 0.692 0.402
F 0.250 0.726 0.778
F 0.274 0.750 0.222
F 0.308 0.308 0.598
F 0.750 0.274 0.222
F 0.726 0.250 0.778
F 0.739 0.739 0.075
F 0.261 0.261 0.925
Cd 0.000 0.000 0.000
Ba 0.000 0.000 0.500
Be 0.620 0.620 0.228
Be 0.380 0.380 0.772


(22)
A plane-wave DFT calculation with PBE was carried out for a geometry-optimized BaBe2CdH8 structure.

Summary:
Crystal system: trigonal
SG: P-3m1 (164)

a b c (Å): 4.905 4.905 7.260
angles (deg): 90.05 90.05 60.00
Fractional positions:
H 0.827 0.345 0.184
H 0.173 0.655 0.816
H 0.345 0.827 0.184
H 0.827 0.827 0.184
H 0.173 0.173 0.816
H 0.655 0.173 0.816
H 0.667 0.667 0.445
H 0.333 0.333 0.555
Be 0.334 0.334 0.755
Be 0.666 0.666 0.245
Cd 0.000 0.000 0.000
Ba 0.000 0.000 0.500


(23)
A plane-wave DFT calculation with PBE was carried out for a geometry-optimized BaHfBe2Cd structure.

Summary:
Crystal system: tetragonal
SG: P4/mmm (123)
Energy relative to the elements: 0.82 eV/atom

a b c (Å): 5.018 5.615 5.018
angles (deg): 90.00 90.00 90.00
Site moments in Bohr magnetons follow the coordinates.
Fractional positions:
Be 0.000 0.000 0.500  0.04
Be 0.500 0.000 0.000  0.07
Hf 0.000 0.000 0.000  0.31
Ba 0.500 0.500 0.500  0.01
Cd 0.000 0.500 0.000  0.01


(24)
A plane-wave DFT calculation with PBE was carried out for a geometry-optimized BaBeCdN2 structure.

Summary:
Crystal system: tetragonal
SG: P4/mmm (123)
Formation energy without anion corrections: 19.966 kcal/mol of atoms

a b c (Å): 4.299 4.466 4.299
angles (deg): 90.00 90.00 90.00
Site moments in Bohr magnetons follow the coordinates.
Fractional positions:
Cd 0.000 0.500 0.000  0.04
N 0.000 0.000 0.500  0.59
N 0.500 0.000 0.000  0.61
Be 0.000 0.000 0.000  -0.02
Ba 0.500 0.500 0.500  0.01


(25)
A plane-wave DFT calculation with PBE was carried out for a geometry-optimized BaBeCd2O4 structure.

Summary:
Crystal system: tetragonal
SG: I-42m (121)
Formation energy without anion corrections: -40.119 kcal/mol of atoms

a b c (Å): 5.626 5.381 5.381
angles (deg): 84.65 58.48 58.48
Fractional positions:
O 0.000 0.806 0.550
O 0.000 0.450 0.194
O 0.356 0.194 0.450
O 0.644 0.550 0.806
Be 0.000 0.500 0.500
Ba 0.000 0.000 0.000
Cd 0.500 0.750 0.250
Cd 0.500 0.250 0.750


(26)
A plane-wave DFT calculation with PBE was carried out for a geometry-optimized BaBeCdP2 structure.

Summary:
Crystal system: monoclinic
SG: P2/c (13)
Energy relative to the elements: -0.49 eV/atom

a b c (Å): 5.059 7.003 7.440
angles (deg): 103.36 90.00 90.00
Fractional positions:
P 0.255 0.225 0.047
P 0.255 0.775 0.453
P 0.745 0.775 0.953
P 0.745 0.225 0.547
Ba 0.243 0.500 0.750
Ba 0.757 0.500 0.250
Be 0.000 0.000 0.000
Be 0.000 0.000 0.500
Cd 0.489 0.000 0.250
Cd 0.511 0.000 0.750


(27)
A plane-wave DFT calculation with PBE was carried out for a geometry-optimized Ba2BeCdPt structure.

Summary:
Crystal system: tetragonal
SG: P4/mmm (123)
Energy relative to the elements: -0.29 eV/atom

a b c (Å): 6.176 6.176 4.458
angles (deg): 90.00 90.00 90.00
Fractional positions:
Cd 0.500 0.500 0.500
Be 0.000 0.000 0.500
Ba 0.000 0.500 0.000
Ba 0.500 0.000 0.000
Pt 0.000 0.000 0.000


(28)
A plane-wave DFT calculation with PBE was carried out for a geometry-optimized BaBeCd2Pt structure.

Summary:
Crystal system: tetragonal
SG: P4/mmm (123)
Energy relative to the elements: -0.24 eV/atom

a b c (Å): 5.311 5.311 4.515
angles (deg): 90.00 90.00 90.00
Fractional positions:
Be 0.000 0.000 0.500
Pt 0.000 0.000 0.000
Cd 0.000 0.500 0.000
Cd 0.500 0.000 0.000
Ba 0.500 0.500 0.500


(29)
A plane-wave DFT calculation with PBE was carried out for a geometry-optimized BaBe2CdSb structure.

Summary:
Crystal system: tetragonal
SG: P4/mmm (123)
Formation energy without anion corrections: 9.914 kcal/mol of atoms

a b c (Å): 4.805 5.873 4.805
angles (deg): 90.00 90.00 90.00
Fractional positions:
Sb 0.000 0.500 0.000
Cd 0.000 0.000 0.000
Be 0.500 0.000 0.000
Be 0.000 0.000 0.500
Ba 0.500 0.500 0.500


no.,calculated total energy (eV for the cell shown)
1,-6.04
2,-7.28
3,-4.86
4,-5.40
5,-13.79
6,-4.19
7,-6.84
8,-6.53
9,-5.62
10,-10.23
11,-8.47
12,-8.79
13,-6.57
14,-2.65
15,-5.54
16,-7.27
17,-6.57
18,-6.82
19,-6.99
20,-11.78
21,-63.28
22,-38.99
23,-16.12
24,-18.89
25,-41.23
26,-39.65
27,-15.95
28,-14.73
29,-12.26